Entry 1:
CaC2: optimized geometry, PBE-GGA.

abc: 4.491 4.491 9.646
angles: 90.00 90.00 120.00
Atoms (fractional coordinates):
Ca 0.333 0.667 0.103
Ca 0.333 0.667 0.397
Ca 0.667 0.333 0.603
Ca 0.667 0.333 0.897
C 0.000 0.000 0.000
C 0.000 0.000 0.500
C 0.108 0.216 0.750
C 0.108 0.892 0.750
C 0.216 0.108 0.250
C 0.784 0.892 0.750
C 0.892 0.108 0.250
C 0.892 0.784 0.250

Output
Relative energy among the computed polymorphs = 1175 meV/atom
Formation enthalpy at 0 K = 1.189 eV per atom



Entry 2:
CaC5: optimized geometry, PBE-GGA.

abc: 5.485 4.885 4.885
angles: 30.67 90.00 90.00
Atoms (fractional coordinates):
Ca 0.000 0.000 0.000
C 0.000 0.274 0.274
C 0.000 0.729 0.729
C 0.500 0.280 0.280
C 0.500 0.433 0.433
C 0.500 0.718 0.718

Output
Relative energy among the computed polymorphs = 665 meV/atom
Formation enthalpy at 0 K = 1.252 eV per atom



Entry 3:
CaC: optimized geometry, PBE-GGA.

abc: 6.870 6.870 3.801
angles: 90.00 90.00 90.00
Atoms (fractional coordinates):
Ca 0.238 0.238 0.000
Ca 0.262 0.738 0.500
Ca 0.738 0.262 0.500
Ca 0.762 0.762 0.000
C 0.067 0.067 0.500
C 0.433 0.567 0.000
C 0.567 0.433 0.000
C 0.933 0.933 0.500

Output
Relative energy among the computed polymorphs = 117 meV/atom
Formation enthalpy at 0 K = 0.116 eV per atom



Entry 4:
CaC2: optimized geometry, PBE-GGA.

abc: 2.782 2.782 8.500
angles: 90.00 90.00 120.00
Atoms (fractional coordinates):
Ca 0.000 0.000 0.250
Ca 0.000 0.000 0.750
C 0.333 0.667 0.017
C 0.333 0.667 0.483
C 0.667 0.333 0.517
C 0.667 0.333 0.983

Output
Relative energy among the computed polymorphs = 711 meV/atom
Formation enthalpy at 0 K = 0.725 eV per atom



Entry 5:
CaC2: optimized geometry, PBE-GGA.

abc: 4.222 4.222 4.222
angles: 125.08 125.08 81.41
Atoms (fractional coordinates):
Ca 0.000 0.000 0.000
C 0.401 0.401 0.000
C 0.599 0.599 0.000

Output
Relative energy among the computed polymorphs = 8 meV/atom
Formation enthalpy at 0 K = 0.023 eV per atom



Entry 6:
CaC3: optimized geometry, PBE-GGA.

abc: 4.364 4.364 4.364
angles: 132.58 132.58 69.31
Atoms (fractional coordinates):
Ca 0.000 0.000 0.000
C 0.250 0.750 0.500
C 0.500 0.500 0.000
C 0.750 0.250 0.500

Output
Relative energy among the computed polymorphs = 2255 meV/atom
Formation enthalpy at 0 K = 2.776 eV per atom



Entry 7:
Ca4C3: optimized geometry, PBE-GGA.

abc: 5.119 5.119 5.477
angles: 90.00 90.00 120.00
Atoms (fractional coordinates):
Ca 0.000 0.000 0.215
Ca 0.000 0.000 0.785
Ca 0.333 0.667 0.500
Ca 0.667 0.333 0.500
C 0.000 0.500 0.000
C 0.500 0.000 0.000
C 0.500 0.500 0.000

Output
Relative energy among the computed polymorphs = 923 meV/atom
Formation enthalpy at 0 K = 1.710 eV per atom



Entry 8:
CaC2: optimized geometry, PBE-GGA.

abc: 2.872 2.872 4.163
angles: 90.00 90.00 90.00
Atoms (fractional coordinates):
Ca 0.000 0.000 0.000
C 0.000 0.500 0.500
C 0.500 0.000 0.500

Output
Relative energy among the computed polymorphs = 1897 meV/atom
Formation enthalpy at 0 K = 1.912 eV per atom



Entry 9:
CaC5: optimized geometry, PBE-GGA.

abc: 4.745 4.745 2.514
angles: 90.00 90.00 120.00
Atoms (fractional coordinates):
Ca 0.000 0.000 0.000
C 0.000 0.500 0.500
C 0.333 0.667 0.000
C 0.500 0.000 0.500
C 0.500 0.500 0.500
C 0.667 0.333 0.000

Output
Relative energy among the computed polymorphs = 1977 meV/atom
Formation enthalpy at 0 K = 2.564 eV per atom



Entry 10:
CaC3: optimized geometry, PBE-GGA.

abc: 3.581 3.581 4.896
angles: 90.00 90.00 120.00
Atoms (fractional coordinates):
Ca 0.000 0.000 0.000
C 0.000 0.000 0.500
C 0.333 0.667 0.363
C 0.333 0.667 0.637

Output
Relative energy among the computed polymorphs = 1090 meV/atom
Formation enthalpy at 0 K = 1.611 eV per atom



Entry 11:
Ca4C: optimized geometry, PBE-GGA.

abc: 5.597 5.597 5.597
angles: 109.47 109.47 109.47
Atoms (fractional coordinates):
Ca 0.000 0.000 0.500
Ca 0.000 0.500 0.000
Ca 0.500 0.000 0.000
Ca 0.500 0.500 0.500
C 0.000 0.000 0.000

Output
Relative energy among the computed polymorphs = 239 meV/atom
Formation enthalpy at 0 K = 0.493 eV per atom



Entry 12:
CaC4: optimized geometry, PBE-GGA.

abc: 4.501 4.501 4.501
angles: 90.00 90.00 90.00
Atoms (fractional coordinates):
Ca 0.000 0.000 0.000
C 0.000 0.000 0.500
C 0.000 0.500 0.000
C 0.500 0.000 0.000
C 0.500 0.500 0.500

Output
Relative energy among the computed polymorphs = 4394 meV/atom
Formation enthalpy at 0 K = 4.712 eV per atom



Entry 13:
CaC3: optimized geometry, PBE-GGA.

abc: 5.042 5.042 8.087
angles: 90.00 90.00 120.00
Atoms (fractional coordinates):
Ca 0.000 0.000 0.000
Ca 0.000 0.000 0.500
Ca 0.333 0.667 0.250
Ca 0.667 0.333 0.750
C 0.000 0.500 0.000
C 0.000 0.500 0.500
C 0.235 0.470 0.750
C 0.235 0.765 0.750
C 0.470 0.235 0.250
C 0.500 0.000 0.000
C 0.500 0.000 0.500
C 0.500 0.500 0.000
C 0.500 0.500 0.500
C 0.530 0.765 0.750
C 0.765 0.235 0.250
C 0.765 0.530 0.250

Output
Relative energy among the computed polymorphs = 1368 meV/atom
Formation enthalpy at 0 K = 1.890 eV per atom



Entry 14:
CaC2: optimized geometry, PBE-GGA.

abc: 3.850 3.850 8.043
angles: 90.00 90.00 120.00
Atoms (fractional coordinates):
Ca 0.000 0.000 0.000
Ca 0.000 0.000 0.500
C 0.333 0.667 0.172
C 0.333 0.667 0.328
C 0.667 0.333 0.672
C 0.667 0.333 0.828

Output
Relative energy among the computed polymorphs = 58 meV/atom
Formation enthalpy at 0 K = 0.073 eV per atom



Entry 15:
Ca3C2: optimized geometry, PBE-GGA.

abc: 7.185 6.150 8.218
angles: 57.89 46.47 75.65
Atoms (fractional coordinates):
Ca 0.000 0.000 0.000
Ca 0.062 0.673 0.497
Ca 0.250 0.250 0.250
Ca 0.482 0.753 0.577
Ca 0.673 0.062 0.768
Ca 0.753 0.482 0.188
C 0.056 0.872 0.716
C 0.534 0.894 0.194
C 0.872 0.056 0.356
C 0.894 0.534 0.378

Output
Relative energy among the computed polymorphs = 0 meV/atom
Formation enthalpy at 0 K = 0.643 eV per atom



Entry 16:
Ca5C: optimized geometry, PBE-GGA.

abc: 13.463 13.463 4.239
angles: 90.00 90.00 165.28
Atoms (fractional coordinates):
Ca 0.000 0.000 0.000
Ca 0.079 0.921 0.500
Ca 0.315 0.685 0.000
Ca 0.685 0.315 0.000
Ca 0.921 0.079 0.500
C 0.500 0.500 0.500

Output
Relative energy among the computed polymorphs = 161 meV/atom
Formation enthalpy at 0 K = 0.403 eV per atom



Entry 17:
CaC: optimized geometry, PBE-GGA.

abc: 9.349 9.349 2.799
angles: 90.00 90.00 120.00
Atoms (fractional coordinates):
Ca 0.211 0.421 0.250
Ca 0.211 0.789 0.250
Ca 0.421 0.211 0.750
Ca 0.579 0.789 0.250
Ca 0.789 0.211 0.750
Ca 0.789 0.579 0.750
C 0.045 0.522 0.750
C 0.478 0.522 0.750
C 0.478 0.955 0.750
C 0.522 0.045 0.250
C 0.522 0.478 0.250
C 0.955 0.478 0.250

Output
Relative energy among the computed polymorphs = 444 meV/atom
Formation enthalpy at 0 K = 0.443 eV per atom



Entry 18:
Ca6C7: optimized geometry, PBE-GGA.

abc: 10.926 10.926 10.926
angles: 26.30 26.30 26.30
Atoms (fractional coordinates):
Ca 0.071 0.071 0.071
Ca 0.202 0.202 0.202
Ca 0.314 0.314 0.314
Ca 0.686 0.686 0.686
Ca 0.798 0.798 0.798
Ca 0.929 0.929 0.929
C 0.204 0.500 0.500
C 0.500 0.204 0.500
C 0.500 0.500 0.204
C 0.500 0.500 0.500
C 0.500 0.500 0.796
C 0.500 0.796 0.500
C 0.796 0.500 0.500

Output
Formation enthalpy at 0 K = 0.594 eV per atom



Entry 19:
CaC: optimized geometry, PBE-GGA.

abc: 4.062 4.062 4.062
angles: 60.00 60.00 60.00
Atoms (fractional coordinates):
Ca 0.000 0.000 0.000
C 0.750 0.750 0.750

Output
Relative energy among the computed polymorphs = 1407 meV/atom
Formation enthalpy at 0 K = 1.406 eV per atom



Entry 20:
Ca3C4: optimized geometry, PBE-GGA.

abc: 5.179 5.179 5.179
angles: 90.00 90.00 90.00
Atoms (fractional coordinates):
Ca 0.000 0.000 0.500
Ca 0.000 0.500 0.000
Ca 0.500 0.000 0.000
C 0.000 0.000 0.000
C 0.000 0.500 0.500
C 0.500 0.000 0.500
C 0.500 0.500 0.000

Output
Relative energy among the computed polymorphs = 1289 meV/atom
Formation enthalpy at 0 K = 2.014 eV per atom



Entry 21:
CaC2: optimized geometry, PBE-GGA.

abc: 4.086 4.086 13.059
angles: 90.00 90.00 120.00
Atoms (fractional coordinates):
Ca 0.000 0.000 0.000
Ca 0.333 0.667 0.358
Ca 0.667 0.333 0.642
C 0.000 0.000 0.452
C 0.000 0.000 0.548
C 0.333 0.667 0.089
C 0.333 0.667 0.185
C 0.667 0.333 0.815
C 0.667 0.333 0.911

Output
Relative energy among the computed polymorphs = 393 meV/atom
Formation enthalpy at 0 K = 0.408 eV per atom



Entry 22:
CaC2: optimized geometry, PBE-GGA.

abc: 4.919 4.919 4.919
angles: 51.38 51.38 51.38
Atoms (fractional coordinates):
Ca 0.000 0.000 0.000
C 0.196 0.196 0.196
C 0.294 0.294 0.294

Output
Relative energy among the computed polymorphs = 195 meV/atom
Formation enthalpy at 0 K = 0.210 eV per atom



Entry 23:
CaC: optimized geometry, PBE-GGA.

abc: 5.250 5.250 5.021
angles: 90.00 90.00 90.00
Atoms (fractional coordinates):
Ca 0.000 0.000 0.000
Ca 0.000 0.500 0.500
Ca 0.500 0.000 0.500
C 0.000 0.000 0.500
C 0.000 0.500 0.000
C 0.500 0.000 0.000

Output
Relative energy among the computed polymorphs = 1533 meV/atom
Formation enthalpy at 0 K = 1.532 eV per atom



Entry 24:
CaC3: optimized geometry, PBE-GGA.

abc: 3.854 3.854 4.097
angles: 90.24 90.24 42.37
Atoms (fractional coordinates):
Ca 0.000 0.000 0.000
C 0.308 0.308 0.499
C 0.500 0.500 0.500
C 0.692 0.692 0.501

Output
Relative energy among the computed polymorphs = 0 meV/atom
Formation enthalpy at 0 K = 0.522 eV per atom



Entry 25:
CaC: optimized geometry, PBE-GGA.

abc: 3.555 3.555 4.300
angles: 90.00 90.00 90.00
Atoms (fractional coordinates):
Ca 0.000 0.000 0.000
C 0.500 0.500 0.000

Output
Relative energy among the computed polymorphs = 1628 meV/atom
Formation enthalpy at 0 K = 1.627 eV per atom



Entry 26:
CaC: optimized geometry, PBE-GGA.

abc: 4.405 4.405 4.405
angles: 60.00 60.00 60.00
Atoms (fractional coordinates):
Ca 0.125 0.125 0.125
Ca 0.875 0.875 0.875
C 0.375 0.375 0.375
C 0.625 0.625 0.625

Output
Relative energy among the computed polymorphs = 1888 meV/atom
Formation enthalpy at 0 K = 1.887 eV per atom